TbSmGeAu (PBE, optimized geometry); offset from the most stable computed form = 0.000 eV/atom; space-group type = No. 38; formation energy = -835 meV/atom
1.0
4.0979 0.0000 0.0000
0.0000 4.3705 0.0000
-2.0489 0.0000 5.5463
Au Ge Sm Tb
1 1 1 1
direct
0.4178 0.0000 0.8357
0.5866 0.5000 0.1732
0.8589 0.5000 0.7178
0.1366 0.0000 0.2733

---

CaDySiHg (PBE, optimized geometry); energy relative to the elements, uncorrected = -0.433 eV/atom; space-group type = No. 216
1.0
5.1570 0.0000 0.0000
2.5785 4.4661 0.0000
2.5785 1.4887 4.2107
Hg Ca Si Dy
1 1 1 1
direct
0.2500 0.2500 0.2500
0.0000 0.0000 0.0000
0.7500 0.7500 0.7500
0.5000 0.5000 0.5000

---

UCrOs2 (PBE, optimized geometry); offset from the most stable computed form = 0.000 eV/atom; space-group type = No. 123; formation energy = 13 meV/atom
1.0
-0.4409 3.1491 -2.0667
-3.8504 -1.1875 -0.9881
-1.4676 1.9834 3.3353
U Os Cr
1 2 1
direct
0.5000 0.5000 0.5000
0.0000 0.0000 0.5000
0.0000 0.5000 0.0000
0.5000 0.0000 0.0000

---

Ba2SrCaAs (PBE, optimized geometry); offset from the most stable computed form = 0.000 eV/atom; space-group type = No. 123; formation energy = -450 meV/atom
1.0
-0.8139 5.4590 -3.5461
0.7572 -3.4701 -5.5157
-5.7520 -0.9729 -0.1776
Ba Sr Ca As
2 1 1 1
direct
0.5000 0.0000 0.0000
0.0000 0.5000 0.0000
0.5000 0.5000 0.5000
0.0000 0.0000 0.5000
0.0000 0.0000 0.0000

---

K2CrRu (PBE, optimized geometry); offset from the most stable computed form = 0.659 eV/atom; space-group type = No. 65; formation energy = 1344 meV/atom
1.0
6.3323 0.1621 0.0000
-4.0088 4.9044 0.0000
0.0000 0.0000 3.0940
Cr Ru K
1 1 2
direct
0.0000 0.5000 0.5000
0.5000 0.0000 0.5000
0.0000 0.0000 0.0000
0.5000 0.5000 0.0000

---

HoFeNi4 (PBE, optimized geometry); space-group type = No. 51; formation energy = -116 meV/atom
1.0
3.7192 0.0000 0.0000
0.0000 6.4291 0.0000
0.0000 0.0000 7.0198
Ho Fe Ni
2 2 8
direct
0.0000 0.6429 0.7500
0.0000 0.3571 0.2500
0.0000 0.2213 0.7500
0.0000 0.7787 0.2500
0.5000 0.0298 0.2500
0.5000 0.2990 0.5537
0.0000 0.0000 0.5000
0.5000 0.2990 0.9463
0.0000 0.0000 0.0000
0.5000 0.7010 0.4463
0.5000 0.7010 0.0537
0.5000 0.9702 0.7500

---

AcLa4Pr2Mg (PBE, optimized geometry); space-group type = No. 123; formation energy = 55 meV/atom
1.0
5.9528 0.0000 0.0000
0.0001 5.6855 1.7600
0.0001 3.2613 9.5971
Mg La Pr Ac
1 4 2 1
direct
0.0000 0.5000 0.5000
0.0000 0.7788 0.7209
0.5000 0.7222 0.2783
0.5000 0.2778 0.7217
0.0000 0.2212 0.2791
0.5000 0.0000 0.5000
0.0000 0.0000 0.0000
0.5000 0.5000 0.0000

---

SmSb4 (PBE, optimized geometry); energy relative to the elements, uncorrected = 0.616 eV/atom; space-group type = No. 221
1.0
-3.6921 1.3920 -4.3101
-4.4900 -1.8560 3.2467
-0.5956 5.3632 2.2422
Sb Sm
4 1
direct
0.0000 0.0000 0.0000
0.5000 0.5000 0.0000
0.0000 0.5000 0.5000
0.5000 0.0000 0.5000
0.5000 0.5000 0.5000

---

Th3Te2Pd (PBE, optimized geometry); energy relative to the elements, uncorrected = -0.938 eV/atom; space-group type = No. 12
1.0
-4.5596 -4.4555 -4.1540
3.8658 -6.4512 -1.9694
-4.3925 -5.1627 3.3899
Th Te Pd
6 4 2
direct
0.2851 0.2155 0.0000
0.5687 0.2251 0.3568
0.0744 0.7749 0.3568
0.7149 0.7845 0.0000
0.4313 0.7749 0.6432
0.9256 0.2251 0.6432
0.5000 0.5000 0.0000
0.8456 0.5000 0.3089
0.1544 0.5000 0.6911
0.0000 0.0000 0.0000
0.6682 0.0000 0.6635
0.3318 0.0000 0.3365

---

RbCa2InSe4 (PBE, optimized geometry); energy relative to the elements, uncorrected = -1.257 eV/atom; space-group type = No. 74
1.0
8.6697 0.0586 0.0281
0.0525 8.6697 0.0281
-4.2848 -4.2877 6.1445
Se Ca Rb In
8 4 2 2
direct
0.2617 0.2372 0.9850
0.2628 0.2383 0.5150
0.6923 0.2578 0.4749
0.2422 0.8077 0.0251
0.3077 0.7422 0.5251
0.7372 0.7617 0.4850
0.7578 0.1923 0.9749
0.7383 0.7628 0.0150
0.5000 0.0000 0.0000
0.5000 0.5000 0.0000
0.5000 0.0000 0.5000
0.0000 0.0000 0.5000
0.0000 0.5000 0.0000
0.0000 0.5000 0.5000
0.5000 0.5000 0.5000
0.0000 0.0000 0.0000

---

Copy entry 7 word for word.
AcLa4Pr2Mg (PBE, optimized geometry); space-group type = No. 123; formation energy = 55 meV/atom
1.0
5.9528 0.0000 0.0000
0.0001 5.6855 1.7600
0.0001 3.2613 9.5971
Mg La Pr Ac
1 4 2 1
direct
0.0000 0.5000 0.5000
0.0000 0.7788 0.7209
0.5000 0.7222 0.2783
0.5000 0.2778 0.7217
0.0000 0.2212 0.2791
0.5000 0.0000 0.5000
0.0000 0.0000 0.0000
0.5000 0.5000 0.0000

---

Repeat the eighth record exactly.
SmSb4 (PBE, optimized geometry); energy relative to the elements, uncorrected = 0.616 eV/atom; space-group type = No. 221
1.0
-3.6921 1.3920 -4.3101
-4.4900 -1.8560 3.2467
-0.5956 5.3632 2.2422
Sb Sm
4 1
direct
0.0000 0.0000 0.0000
0.5000 0.5000 0.0000
0.0000 0.5000 0.5000
0.5000 0.0000 0.5000
0.5000 0.5000 0.5000